First-principles (PBE with a Hubbard U) data for a geometry-optimized Rb2Cr2O structure, as listed in the Alexandria database.

Lattice parameters (Å, degrees): 6.6869 6.6869 5.4329 90.00 90.00 90.00
With the nearest neighbours (Å) after each atom.
Fractional coordinates of all 5 atoms:
Cr  0.0000  0.0000  0.0000  2 Cr 2.72
Cr  0.0000  0.0000  0.5000  2 Cr 2.72
O  0.5000  0.5000  0.5000  8 Rb 4.31, 4 Cr 4.73
Rb  0.0000  0.5000  0.0000  2 Cr 3.34
Rb  0.5000  0.0000  0.0000  2 Cr 3.34

Summary:
As for the calculated density: 1.99 g cm⁻³. The total energy comes out at -17.54 eV per cell. For the density of states at the Fermi level, the calculation gives 11.21 states/eV/cell. Its space-group type is P4/mmm.